Nd5Ge2Bi: optimized geometry, PBE.

Structure (CIF):
```
data_Nd5Ge2Bi
_chemical_formula_sum 'Nd20 Ge8 Bi4'
_space_group_name_H-M_alt 'I 4/m c m'
_space_group_IT_number 140
_space_group_name_Hall '-I 4 2c'
_cell_length_a 8.159
_cell_length_b 8.159
_cell_length_c 14.209
_cell_angle_alpha 90.00
_cell_angle_beta 90.00
_cell_angle_gamma 90.00
loop_
_atom_site_label
_atom_site_type_symbol
_atom_site_fract_x
_atom_site_fract_y
_atom_site_fract_z
_atom_site_occupancy
Nd1 Nd 0.000 0.000 0.000 1
Nd2 Nd 0.158 0.342 0.140 1
Ge1 Ge 0.144 0.356 0.500 1
Bi1 Bi 0.000 0.000 0.250 1
```

Properties
Spin magnetization = 9.37 μB per cell
ΔE_f = -0.728 eV per atom

PuAsN: optimized geometry, PBE.

Structure (CIF):
```
data_PuAsN
_chemical_formula_sum 'Pu2 As2 N2'
_space_group_name_H-M_alt 'I 4 m m'
_space_group_IT_number 107
_space_group_name_Hall 'I 4 -2'
_cell_length_a 3.410
_cell_length_b 3.410
_cell_length_c 9.986
_cell_angle_alpha 90.00
_cell_angle_beta 90.00
_cell_angle_gamma 90.00
loop_
_atom_site_label
_atom_site_type_symbol
_atom_site_fract_x
_atom_site_fract_y
_atom_site_fract_z
_atom_site_occupancy
Pu1 Pu 0.000 0.000 0.000 1
As1 As 0.000 0.000 0.310 1
N1 N 0.000 0.000 0.508 1
```

Properties
Formation energy (no corrections) = -1.45 eV/f.u.
Spin magnetization = 10.04 μB per cell

La3DyHo2S6: optimized geometry, PBE.

Structure (CIF):
```
data_La3DyHo2S6
_chemical_formula_sum 'La6 Dy2 Ho4 S12'
_space_group_name_H-M_alt 'C 1 2/m 1'
_space_group_IT_number 12
_cell_length_a 6.899
_cell_length_b 11.977
_cell_length_c 7.067
_cell_angle_alpha 90.00
_cell_angle_beta 109.08
_cell_angle_gamma 90.00
loop_
_space_group_symop_operation_xyz
'x,y,z'
'-x,-y,-z'
'-x,y,-z'
'x,-y,z'
'x+1/2,y+1/2,z'
'-x+1/2,-y+1/2,-z'
'-x+1/2,y+1/2,-z'
'x+1/2,-y+1/2,z'
loop_
_atom_site_label
_atom_site_type_symbol
_atom_site_fract_x
_atom_site_fract_y
_atom_site_fract_z
_atom_site_occupancy
La1 La 0.000 0.000 0.000 1
La2 La 0.000 0.334 0.000 1
Dy1 Dy 0.000 0.500 0.500 1
Ho1 Ho 0.000 0.167 0.500 1
S1 S 0.241 0.000 0.728 1
S2 S 0.243 0.333 0.728 1
```

Properties
Formation energy (no corrections) = -25.01 eV/f.u.
Spin magnetization = 0.00 μB per cell

BaMgTa4: optimized geometry, PBE.

Structure (CIF):
```
data_BaMgTa4
_chemical_formula_sum 'Ba4 Mg4 Ta16'
_space_group_name_H-M_alt 'F -4 3 m'
_space_group_IT_number 216
_space_group_name_Hall 'F -4 2 3'
_cell_length_a 8.190
_cell_length_b 8.190
_cell_length_c 8.190
_cell_angle_alpha 90.00
_cell_angle_beta 90.00
_cell_angle_gamma 90.00
loop_
_atom_site_label
_atom_site_type_symbol
_atom_site_fract_x
_atom_site_fract_y
_atom_site_fract_z
_atom_site_occupancy
Ba1 Ba 0.000 0.000 0.000 1
Mg1 Mg 0.250 0.250 0.750 1
Ta1 Ta 0.126 0.126 0.374 1
```

Properties
Spin magnetization = 0.00 μB per cell
ΔE_f = 0.772 eV per atom

| no. | D(E_F) (states/eV/f.u.) |
| --- | --- |
| 1 | 9.02 |
| 2 | 6.60 |
| 3 | 6.02 |
| 4 | 8.36 |